# Mn2MoSe (PBE, relaxed)
data_Mn2MoSe
_chemical_formula_sum 'Mn4 Mo2 Se2'
_cell_length_a 3.233
_cell_length_b 4.205
_cell_length_c 8.163
_cell_angle_alpha 90.00
_cell_angle_beta 90.00
_cell_angle_gamma 90.00
_symmetry_space_group_name_H-M 'I m m 2'
_symmetry_Int_Tables_number 44
loop_
_symmetry_equiv_pos_as_xyz
'x,y,z'
'-x,-y,z'
'-x,y,z'
'x,-y,z'
'x+1/2,y+1/2,z+1/2'
'-x+1/2,-y+1/2,z+1/2'
'-x+1/2,y+1/2,z+1/2'
'x+1/2,-y+1/2,z+1/2'
loop_
_atom_site_label
_atom_site_type_symbol
_atom_site_fract_x
_atom_site_fract_y
_atom_site_fract_z
Mn1 Mn 0.000 0.000 0.000
Mn2 Mn 0.000 0.500 0.253
Mo1 Mo 0.000 0.500 0.772
Se1 Se 0.000 0.000 0.524
# Magnetic moment in μB per formula unit: 4.1
# E in eV per atom: -7.92